[1]
{
  "formula": "Pm3Pr2ErS6",
  "functional": "PBE",
  "state": "relaxed",
  "final_energy_ev_per_cell": -77.32,
  "total_magnetization_mub_per_fu": 0.00,
  "spacegroup": "C2/m (12)",
  "volume_a3_per_cell": 278,
  "cell": [[3.490, -6.060, 0.000], [3.490, 6.060, 0.000], [-2.331, 0.000, 6.567]],
  "species": ["Pm", "Pm", "Pm", "Pr", "Pr", "Er", "S", "S", "S", "S", "S", "S"],
  "frac_coords": [[0.000, 0.000, 0.000], [0.328, 0.672, 0.000], [0.672, 0.328, 0.000], [0.167, 0.833, 0.500], [0.833, 0.167, 0.500], [0.500, 0.500, 0.500], [0.098, 0.418, 0.253], [0.264, 0.264, 0.751], [0.418, 0.098, 0.253], [0.582, 0.902, 0.747], [0.736, 0.736, 0.249], [0.902, 0.582, 0.747]]
}


[2]
{
  "formula": "PmPr4Er3S8",
  "functional": "PBE",
  "state": "relaxed",
  "final_energy_ev_per_cell": -102.57,
  "total_magnetization_mub_per_fu": 0.00,
  "spacegroup": "R-3m (166)",
  "volume_a3_per_cell": 365,
  "cell": [[3.968, 2.291, 6.685], [-3.968, 2.291, 6.685], [0.000, -4.582, 6.685]],
  "species": ["Pm", "Pr", "Pr", "Pr", "Pr", "Er", "Er", "Er", "S", "S", "S", "S", "S", "S", "S", "S"],
  "frac_coords": [[0.000, 0.000, 0.000], [0.000, 0.000, 0.500], [0.000, 0.500, 0.000], [0.500, 0.000, 0.000], [0.500, 0.500, 0.500], [0.000, 0.500, 0.500], [0.500, 0.000, 0.500], [0.500, 0.500, 0.000], [0.248, 0.248, 0.736], [0.248, 0.736, 0.248], [0.258, 0.258, 0.258], [0.264, 0.752, 0.752], [0.736, 0.248, 0.248], [0.742, 0.742, 0.742], [0.752, 0.264, 0.752], [0.752, 0.752, 0.264]]
}


[3]
{
  "formula": "Pm3Pr4ErS8",
  "functional": "PBE",
  "state": "relaxed",
  "final_energy_ev_per_cell": -103.16,
  "total_magnetization_mub_per_fu": 0.00,
  "spacegroup": "R-3m (166)",
  "volume_a3_per_cell": 376,
  "cell": [[4.040, 2.332, 6.655], [-4.040, 2.332, 6.655], [0.000, -4.664, 6.655]],
  "species": ["Pm", "Pm", "Pm", "Pr", "Pr", "Pr", "Pr", "Er", "S", "S", "S", "S", "S", "S", "S", "S"],
  "frac_coords": [[0.000, 0.500, 0.500], [0.500, 0.000, 0.500], [0.500, 0.500, 0.000], [0.000, 0.000, 0.500], [0.000, 0.500, 0.000], [0.500, 0.000, 0.000], [0.500, 0.500, 0.500], [0.000, 0.000, 0.000], [0.241, 0.241, 0.754], [0.241, 0.754, 0.241], [0.246, 0.759, 0.759], [0.252, 0.252, 0.252], [0.748, 0.748, 0.748], [0.754, 0.241, 0.241], [0.759, 0.246, 0.759], [0.759, 0.759, 0.246]]
}


[4]
{
  "formula": "PmPr2Er3S6",
  "functional": "PBE",
  "state": "relaxed",
  "final_energy_ev_per_cell": -76.75,
  "total_magnetization_mub_per_fu": 0.00,
  "spacegroup": "C2/m (12)",
  "volume_a3_per_cell": 266,
  "cell": [[8.725, -1.961, 0.000], [8.725, 1.961, 0.000], [-2.112, 0.000, 7.787]],
  "species": ["Pm", "Pr", "Pr", "Er", "Er", "Er", "S", "S", "S", "S", "S", "S"],
  "frac_coords": [[0.000, 0.000, 0.000], [0.333, 0.333, 0.667], [0.667, 0.667, 0.333], [0.000, 0.000, 0.500], [0.333, 0.333, 0.167], [0.667, 0.667, 0.833], [0.162, 0.162, 0.596], [0.170, 0.170, 0.069], [0.495, 0.495, 0.259], [0.505, 0.505, 0.741], [0.830, 0.830, 0.931], [0.838, 0.838, 0.404]]
}


[5]
{
  "formula": "Pm3Pr3ErS8",
  "functional": "PBE",
  "state": "relaxed",
  "final_energy_ev_per_cell": -96.96,
  "total_magnetization_mub_per_fu": 0.00,
  "spacegroup": "R-3m (166)",
  "volume_a3_per_cell": 376,
  "cell": [[4.042, 2.334, 6.645], [-4.042, 2.334, 6.645], [0.000, -4.668, 6.645]],
  "species": ["Pm", "Pm", "Pm", "Pr", "Pr", "Pr", "Er", "S", "S", "S", "S", "S", "S", "S", "S"],
  "frac_coords": [[0.000, 0.500, 0.500], [0.500, 0.000, 0.500], [0.500, 0.500, 0.000], [0.000, 0.000, 0.500], [0.000, 0.500, 0.000], [0.500, 0.000, 0.000], [0.000, 0.000, 0.000], [0.241, 0.241, 0.755], [0.241, 0.755, 0.241], [0.245, 0.759, 0.759], [0.252, 0.252, 0.252], [0.748, 0.748, 0.748], [0.755, 0.241, 0.241], [0.759, 0.245, 0.759], [0.759, 0.759, 0.245]]
}


[6]
{
  "formula": "PmPrEr2Sb4",
  "functional": "PBE",
  "state": "relaxed",
  "final_energy_ev_per_cell": -44.24,
  "total_magnetization_mub_per_fu": 0.00,
  "spacegroup": "P2/m (10)",
  "volume_a3_per_cell": 248,
  "cell": [[7.681, 0.000, 0.000], [0.000, 4.445, 0.000], [-2.570, 0.000, 7.252]],
  "species": ["Pm", "Pr", "Er", "Er", "Sb", "Sb", "Sb", "Sb"],
  "frac_coords": [[0.000, 0.000, 0.000], [0.000, 0.500, 0.500], [0.500, 0.000, 0.500], [0.500, 0.500, 0.000], [0.261, 0.500, 0.252], [0.262, 0.000, 0.756], [0.738, 0.000, 0.244], [0.739, 0.500, 0.748]]
}


[7]
{
  "formula": "PmPr2ErSb4",
  "functional": "PBE",
  "state": "relaxed",
  "final_energy_ev_per_cell": -44.64,
  "total_magnetization_mub_per_fu": 0.00,
  "spacegroup": "P2/m (10)",
  "volume_a3_per_cell": 256,
  "cell": [[7.776, 0.000, 0.000], [0.000, 4.495, 0.000], [-2.596, 0.000, 7.333]],
  "species": ["Pm", "Pr", "Pr", "Er", "Sb", "Sb", "Sb", "Sb"],
  "frac_coords": [[0.000, 0.000, 0.000], [0.500, 0.000, 0.500], [0.500, 0.500, 0.000], [0.000, 0.500, 0.500], [0.240, 0.000, 0.743], [0.243, 0.500, 0.252], [0.757, 0.500, 0.748], [0.760, 0.000, 0.257]]
}


[8]
{
  "formula": "PmPr2Er3Sb6",
  "functional": "PBE",
  "state": "relaxed",
  "final_energy_ev_per_cell": -66.38,
  "total_magnetization_mub_per_fu": 0.00,
  "spacegroup": "C2/m (12)",
  "volume_a3_per_cell": 373,
  "cell": [[9.681, -2.224, 0.000], [9.681, 2.224, 0.000], [-2.013, 0.000, 8.651]],
  "species": ["Pm", "Pr", "Pr", "Er", "Er", "Er", "Sb", "Sb", "Sb", "Sb", "Sb", "Sb"],
  "frac_coords": [[0.000, 0.000, 0.000], [0.334, 0.334, 0.667], [0.666, 0.666, 0.333], [0.000, 0.000, 0.500], [0.333, 0.333, 0.166], [0.667, 0.667, 0.834], [0.164, 0.164, 0.591], [0.169, 0.169, 0.075], [0.497, 0.497, 0.255], [0.503, 0.503, 0.745], [0.831, 0.831, 0.925], [0.836, 0.836, 0.409]]
}